No. 1
A plane-wave DFT calculation with PBE-GGA was carried out for La2PdPb after structural relaxation.

The space group is P4/mmm (No. 123) and the conventional cell measures 3.689, 3.689 and 8.332 Å, with angles of 90.00, 90.00 and 90.00 degrees. The inequivalent atoms are La at (0.000, 0.000, 0.216), Pd at (0.500, 0.500, 0.000) and Pb at (0.500, 0.500, 0.500).

The value obtained for the total energy is -5.348 eV per atom. The total magnetization comes out at 0.0 μB per formula unit. The calculated volume is 113 Å³ per cell.

No. 2
A plane-wave DFT calculation with PBE-GGA was carried out for LaPd2Pb3 after structural relaxation.

The space group is Pmc2_1 (No. 26) and the conventional cell measures 4.522, 8.696 and 7.682 Å, with angles of 90.00, 90.00 and 90.00 degrees. The inequivalent atoms are La at (0.000, 0.070, 0.000), Pd at (0.000, 0.353, 0.236), Pd at (0.500, 0.134, 0.717), Pb at (0.000, 0.334, 0.625), Pb at (0.500, 0.182, 0.329) and Pb at (0.500, 0.411, 0.968).

The value obtained for the total energy is -4.863 eV per atom. The total magnetization comes out at 0.0 μB per formula unit. The calculated volume is 302 Å³ per cell.

No. 3
A plane-wave DFT calculation with PBE-GGA was carried out for LaPd2Pb2 after structural relaxation.

The space group is I4/mmm (No. 139) and the conventional cell measures 4.810, 4.810 and 10.921 Å, with angles of 90.00, 90.00 and 90.00 degrees. The inequivalent atoms are La at (0.000, 0.000, 0.000), Pd at (0.000, 0.500, 0.250) and Pb at (0.000, 0.000, 0.366).

The value obtained for the total energy is -5.011 eV per atom. The total magnetization comes out at 0.0 μB per formula unit. The calculated volume is 253 Å³ per cell.

No. 4
A plane-wave DFT calculation with PBE-GGA was carried out for La4Pd12Pb after structural relaxation.

The space group is Im-3m (No. 229) and the conventional cell measures 8.791, 8.791 and 8.791 Å, with angles of 90.00, 90.00 and 90.00 degrees. The inequivalent atoms are La at (0.250, 0.250, 0.250), Pd at (0.000, 0.000, 0.309), Pd at (0.000, 0.250, 0.500) and Pb at (0.000, 0.000, 0.000).

The value obtained for the total energy is -5.811 eV per atom. The total magnetization comes out at 0.0 μB per formula unit. The calculated volume is 679 Å³ per cell.